# 1
Entry from Alexandria via LeMat-Bulk: crystalline Be2CrCd at its relaxed geometry (GGA-PBE).

a b c (Å): 5.003 5.003 5.003
angles (deg): 149.12 130.49 59.50
Last column: magnetic moment on the atom in μB.
Atoms (fractional coordinates):
Be 0.981 0.981 0.000  -0.01
Be 0.769 0.269 0.500  -0.01
Cd 0.516 0.516 0.000  0.00
Cr 0.234 0.734 0.500  0.25

Results
The uncorrected energy comes out at -16.09 eV/cell. Its space group is Imm2 (44). The total magnetic moment is 0.0609 μB/atom. The value obtained for the calculated volume is 48.5 Å³ per cell.

# 2
Entry from Alexandria via LeMat-Bulk: crystalline Be2CrCd at its relaxed geometry (GGA-PBE).

a b c (Å): 3.757 2.938 4.873
angles (deg): 72.46 90.00 90.00
Last column: magnetic moment on the atom in μB.
Atoms (fractional coordinates):
Cr 0.500 0.772 0.830  2.79
Be 0.500 0.069 0.236  -0.04
Be 0.000 0.195 0.985  -0.06
Cd 0.000 0.463 0.449  -0.02

Results
The uncorrected energy comes out at -16.66 eV/cell. Its space group is Amm2 (38). The total magnetic moment is 0.7135 μB/atom. The value obtained for the calculated volume is 51.3 Å³ per cell.

# 3
Entry from Alexandria via LeMat-Bulk: crystalline Be2CrCd at its relaxed geometry (GGA-PBE).

a b c (Å): 8.688 8.688 8.688
angles (deg): 17.60 17.60 17.60
Atoms (fractional coordinates):
Be 0.012 0.012 0.012
Be 0.488 0.488 0.488
Cr 0.750 0.750 0.750
Cd 0.250 0.250 0.250

Results
The uncorrected energy comes out at -15.99 eV/cell. Its space group is R-3m (166). The total magnetic moment is 0.0000 μB/atom. The value obtained for the calculated volume is 52.3 Å³ per cell.

# 4
Entry from Alexandria via LeMat-Bulk: crystalline BeCrCd at its relaxed geometry (GGA-PBE).

a b c (Å): 6.312 6.217 2.637
angles (deg): 79.88 75.84 24.29
Last column: magnetic moment on the atom in μB.
Atoms (fractional coordinates):
Be 0.015 0.015 0.985  -0.01
Cr 0.648 0.648 0.352  0.25
Cd 0.337 0.337 0.663  -0.01

Results
Its space group is Fmm2 (42). For the energy above the most stable polymorph in this dataset, the calculation gives 66 meV/atom. The total magnetic moment is 0.0776 μB/atom. The value obtained for the calculated volume is 41.0 Å³ per cell.

# 5
Entry from Alexandria via LeMat-Bulk: crystalline BeCrCd at its relaxed geometry (GGA-PBE).

a b c (Å): 2.641 9.390 3.392
angles (deg): 90.00 90.02 90.00
Atoms (fractional coordinates):
Be 0.000 0.717 0.000
Be 0.000 0.217 0.500
Cr 0.500 0.807 0.500
Cr 0.500 0.307 0.000
Cd 0.000 0.516 0.500
Cd 0.000 0.016 0.000

Results
Its space group is Amm2 (38). For the energy above the most stable polymorph in this dataset, the calculation gives 141 meV/atom. The total magnetic moment is 0.0002 μB/atom. The value obtained for the calculated volume is 84.1 Å³ per cell.

# 6
Entry from Alexandria via LeMat-Bulk: crystalline Be2CrCd at its relaxed geometry (GGA-PBE).

a b c (Å): 3.988 3.988 3.093
angles (deg): 90.00 90.00 90.00
Last column: magnetic moment on the atom in μB.
Atoms (fractional coordinates):
Be 0.500 0.500 0.000  -0.04
Be 0.000 0.000 0.000  -0.04
Cr 0.000 0.500 0.500  2.02
Cd 0.500 0.000 0.500  -0.04

Results
The uncorrected energy comes out at -16.59 eV/cell. Its space group is P4/mmm (123). The total magnetic moment is 0.4804 μB/atom. The value obtained for the calculated volume is 49.2 Å³ per cell.

# 7
Entry from Alexandria via LeMat-Bulk: crystalline Be2CrCd at its relaxed geometry (GGA-PBE).

a b c (Å): 4.230 4.230 4.230
angles (deg): 60.00 60.00 60.00
Last column: magnetic moment on the atom in μB.
Atoms (fractional coordinates):
Cd 0.500 0.500 0.500  0.01
Cr 0.750 0.750 0.750  3.10
Be 0.000 0.000 0.000  -0.03
Be 0.250 0.250 0.250  -0.07

Results
The uncorrected energy comes out at -15.93 eV/cell. Its space group is F-43m (216). The total magnetic moment is 0.7879 μB/atom. The value obtained for the calculated volume is 53.5 Å³ per cell.

# 8
Entry from Alexandria via LeMat-Bulk: crystalline BeCr2CdGa at its relaxed geometry (GGA-PBE).

a b c (Å): 5.139 4.787 5.139
angles (deg): 90.00 90.00 90.00
Last column: magnetic moment on the atom in μB.
Atoms (fractional coordinates):
Cr 0.500 0.000 0.000  3.89
Cr 0.000 0.000 0.500  4.00
Ga 0.000 0.500 0.000  -0.03
Cd 0.000 0.000 0.000  0.05
Be 0.500 0.500 0.500  -0.06

Results
The uncorrected energy comes out at -18.82 eV/cell. Its space group is P4/mmm (123). The total magnetic moment is 1.7699 μB/atom. The value obtained for the calculated volume is 126.4 Å³ per cell.

# 9
Entry from Alexandria via LeMat-Bulk: crystalline BeCrCd2Ge at its relaxed geometry (GGA-PBE).

a b c (Å): 4.716 4.184 4.716
angles (deg): 90.00 90.00 90.00
Last column: magnetic moment on the atom in μB.
Atoms (fractional coordinates):
Be 0.000 0.000 0.000  -0.01
Cr 0.500 0.500 0.500  -0.30
Cd 0.000 0.000 0.500  0.00
Cd 0.500 0.000 0.000  0.01
Ge 0.000 0.500 0.000  0.06

Results
The uncorrected energy comes out at -14.69 eV/cell. Its space group is P4/mmm (123). The total magnetic moment is 0.0428 μB/atom. The value obtained for the calculated volume is 93.0 Å³ per cell.

# 10
Entry from Alexandria via LeMat-Bulk: crystalline BeCr2CdI at its relaxed geometry (GGA-PBE).

a b c (Å): 4.658 5.012 4.658
angles (deg): 90.00 90.00 90.00
Last column: magnetic moment on the atom in μB.
Atoms (fractional coordinates):
Cr 0.000 0.000 0.500  3.68
Cr 0.500 0.000 0.000  3.58
Cd 0.500 0.500 0.500  -0.06
I 0.000 0.500 0.000  0.04
Be 0.000 0.000 0.000  -0.07

Results
The uncorrected energy comes out at -20.38 eV/cell. Its space group is P4/mmm (123). The total magnetic moment is 1.6227 μB/atom. The value obtained for the calculated volume is 108.7 Å³ per cell.

# 11
Entry from Alexandria via LeMat-Bulk: crystalline KBe2CrCd at its relaxed geometry (GGA-PBE).

a b c (Å): 4.751 5.785 4.751
angles (deg): 90.00 90.00 90.00
Last column: magnetic moment on the atom in μB.
Atoms (fractional coordinates):
Cd 0.500 0.500 0.500  0.02
K 0.000 0.500 0.000  0.03
Be 0.500 0.000 0.000  0.06
Be 0.000 0.000 0.500  0.05
Cr 0.000 0.000 0.000  3.75

Results
The uncorrected energy comes out at -12.85 eV/cell. Its space group is P4/mmm (123). The total magnetic moment is 0.9196 μB/atom. The value obtained for the calculated volume is 130.6 Å³ per cell.

Question: What is the calculated volume in the eleventh record?
Answer: 130.6 Å³ per cell